This record from Alexandria via LeMat-Bulk describes a relaxed structure of Li3HI. The functional is GGA-PBE.

Output
Energy above the most stable polymorph in this dataset (eV per formula unit): 2.57
Mass density (Mg/m³): 1.69
DFT total energy (eV per atom): -1.983

Cell: 5.2703 5.2703 5.2703 Å, 90.00 90.00 90.00°
Fractional coordinates of all 5 atoms:
I 0.0000 0.0000 0.0000
H 0.5000 0.5000 0.5000
Li 0.0000 0.5000 0.0000
Li 0.0000 0.0000 0.5000
Li 0.5000 0.0000 0.0000



This record from Alexandria via LeMat-Bulk describes a relaxed structure of LiHI. The functional is GGA-PBE.

Output
Energy above the most stable polymorph in this dataset (eV per formula unit): 0.07
Mass density (Mg/m³): 3.12
DFT total energy (eV per atom): -3.060

Cell: 9.2379 7.8717 4.5622 Å, 90.00 120.06 90.00°
Fractional coordinates of all 12 atoms:
Li 0.3674 0.2089 0.3621
Li 0.8674 0.2911 0.3621
Li 0.1326 0.7089 0.6379
Li 0.6326 0.7911 0.6379
H 0.0410 0.0232 0.5306
H 0.5410 0.4768 0.5306
H 0.9590 0.9768 0.4694
H 0.4590 0.5232 0.4694
I 0.2833 0.8520 0.2897
I 0.7167 0.1480 0.7103
I 0.7833 0.6480 0.2897
I 0.2167 0.3520 0.7103



This record from Alexandria via LeMat-Bulk describes a relaxed structure of Li2H2I3. The functional is GGA-PBE.

Output
Mass density (Mg/m³): 3.85
DFT total energy (eV per atom): -2.524

Cell: 4.3323 7.8912 7.0623 Å, 77.90 122.64 72.10°
Fractional coordinates of all 7 atoms:
Li 0.1175 0.3572 0.8193
Li 0.8825 0.6428 0.1807
H 0.8667 0.1774 0.6913
H 0.1333 0.8226 0.3087
I 0.0000 0.0000 0.0000
I 0.6598 0.3578 0.3125
I 0.3402 0.6422 0.6875